# 1
The following is a meta-GGA SCAN calculation of a crystal of CdP2Pb relaxed with PBEsol, from Alexandria.

Results
E: -1.153 hartree per atom
D(E_F): 1.57 states/eV/f.u.
Formation energy from the elements: 36 kJ/mol of atoms

a b c (Å): 5.0906 5.7026 6.1070
angles (deg): 90.00 90.00 90.00
Last column: nearest neighbours and their distance in Å.
Atoms (fractional coordinates):
1 Cd 0.0000 0.0000 0.0000  4 P 2.78, 2 Pb 3.05
2 Cd 0.5000 0.5000 0.5000  4 P 2.78, 2 Pb 3.05
3 P 0.0000 0.5000 0.3164  1 P 2.24
4 P 0.0000 0.5000 0.6836  1 P 2.24
5 P 0.5000 0.0000 0.1836  1 P 2.24
6 P 0.5000 0.0000 0.8164  1 P 2.24
7 Pb 0.0000 0.0000 0.5000  2 Cd 3.05, 8 P 3.06-3.20
8 Pb 0.5000 0.5000 0.0000  2 Cd 3.05, 8 P 3.06-3.20

# 2
The following is a meta-GGA SCAN calculation of a crystal of Al2AsIrO relaxed with PBEsol, from Alexandria.

Results
E: -0.848 hartree per atom
ΔE_f (raw): -0.46 eV per atom
D(E_F): 1.30 states/eV/f.u.

a b c (Å): 3.8845 3.8845 4.4004
angles (deg): 90.00 90.00 90.00
Last column: nearest neighbours and their distance in Å.
Atoms (fractional coordinates):
1 Al 0.0000 0.5000 0.0000  2 O 1.94
2 Al 0.5000 0.0000 0.0000  2 O 1.94
3 As 0.0000 0.0000 0.5000  2 O 2.20
4 Ir 0.5000 0.5000 0.5000  4 As 2.75, 8 Al 2.93
5 O 0.0000 0.0000 0.0000  4 Al 1.94

# 3
The following is a meta-GGA SCAN calculation of a crystal of Li3SiPd relaxed with PBEsol, from Alexandria.

Results
E: -0.351 hartree per atom
ΔE_f (raw): 0.45 eV per atom
D(E_F): 1.96 states/eV/f.u.

a b c (Å): 4.5265 4.5265 4.5265
angles (deg): 90.00 90.00 90.00
Last column: nearest neighbours and their distance in Å.
Atoms (fractional coordinates):
1 Li 0.0000 0.0000 0.5000  2 Si 2.26
2 Li 0.0000 0.5000 0.0000  2 Si 2.26
3 Li 0.5000 0.0000 0.0000  2 Si 2.26
4 Si 0.0000 0.0000 0.0000  6 Li 2.26
5 Pd 0.5000 0.5000 0.5000  12 Li 3.20

# 4
The following is a meta-GGA SCAN calculation of a crystal of NaTe3H relaxed with PBEsol, from Alexandria.

Results
E: -0.841 hartree per atom
D(E_F): 3.96 states/eV/f.u.

a b c (Å): 5.4474 5.4474 5.4474
angles (deg): 90.00 90.00 90.00
Last column: nearest neighbours and their distance in Å.
Atoms (fractional coordinates):
1 Na 0.0000 0.0000 0.0000  6 Te 2.72
2 Te 0.0000 0.0000 0.5000  2 Na 2.72
3 Te 0.0000 0.5000 0.0000  2 Na 2.72
4 Te 0.5000 0.0000 0.0000  2 Na 2.72
5 H 0.5000 0.5000 0.5000  12 Te 3.85